Mn3WI: relaxed, GGA-PBE.

Results
Magnetic moment: 1.77 μB/atom
DOS at the Fermi energy: 7.766 states/eV per cell
Relative energy among the computed polymorphs: 0 meV/atom
Formation energy from raw total energies: 1.36 eV per atom

Cell and atoms, written as CIF:
```
data_Mn3WI
_chemical_formula_sum 'Mn3 W1 I1'
_cell_length_a 4.844
_cell_length_b 4.844
_cell_length_c 4.844
_cell_angle_alpha 90.00
_cell_angle_beta 90.00
_cell_angle_gamma 90.00
_space_group_name_H-M_alt 'P 1'
_space_group_IT_number 1
loop_
_space_group_symop_operation_xyz
'x,y,z'
loop_
_atom_site_label
_atom_site_type_symbol
_atom_site_fract_x
_atom_site_fract_y
_atom_site_fract_z
Mn1 Mn 0.000 0.000 0.500
Mn2 Mn 0.000 0.500 0.000
Mn3 Mn 0.500 0.000 0.000
W1 W 0.000 0.000 0.000
I1 I 0.500 0.500 0.500
```